RbCoPO after structural relaxation, computed with GGA+U.

Unit cell a=3.576 b=3.576 c=11.576 alpha=90.00 beta=90.00 gamma=90.00
Space group P4/nmm (No. 129, origin choice 2)
Asymmetric unit:
Rb: 0.250 0.250 0.173 [2 per cell]
Co: 0.250 0.750 0.500 [2 per cell]
P: 0.250 0.250 0.604 [2 per cell]
O: 0.250 0.750 0.000 [2 per cell]

Calculated values
Total DFT energy (no corrections)   -33.4 eV/cell
Energy above the lowest structure with this stoichiometry   165 meV/atom